one.
The following is a PBE-GGA calculation of a relaxed structure of NaNiI, from the Alexandria database.

Geometry as CIF:
```
data_NaNiI
_chemical_formula_sum 'Na2 Ni2 I2'
_cell_length_a 4.562
_cell_length_b 4.540
_cell_length_c 6.906
_cell_angle_alpha 90.00
_cell_angle_beta 94.31
_cell_angle_gamma 90.00
_space_group_name_H-M_alt 'P 1 21 1'
_space_group_IT_number 4
loop_
_space_group_symop_operation_xyz
'x,y,z'
'-x,y+1/2,-z'
loop_
_atom_site_label
_atom_site_type_symbol
_atom_site_fract_x
_atom_site_fract_y
_atom_site_fract_z
Na1 Na 0.222 0.000 0.327
Ni1 Ni 0.126 0.567 0.031
I1 I 0.319 0.964 0.795
```

two.
The following is a PBE-GGA calculation of a relaxed structure of NaNiI, from the Alexandria database.

Geometry as CIF:
```
data_NaNiI
_chemical_formula_sum 'Na1 Ni1 I1'
_cell_length_a 3.777
_cell_length_b 3.777
_cell_length_c 5.432
_cell_angle_alpha 90.00
_cell_angle_beta 90.00
_cell_angle_gamma 90.00
_space_group_name_H-M_alt 'P 4/m m m'
_space_group_IT_number 123
_space_group_name_Hall '-P 4 2'
loop_
_atom_site_label
_atom_site_type_symbol
_atom_site_fract_x
_atom_site_fract_y
_atom_site_fract_z
Na1 Na 0.000 0.000 0.000
Ni1 Ni 0.000 0.000 0.500
I1 I 0.500 0.500 0.500
```

three.
The following is a PBE-GGA calculation of a relaxed structure of NaNiI, from the Alexandria database.

Geometry as CIF:
```
data_NaNiI
_chemical_formula_sum 'Na4 Ni4 I4'
_cell_length_a 9.462
_cell_length_b 4.205
_cell_length_c 7.747
_cell_angle_alpha 90.00
_cell_angle_beta 90.00
_cell_angle_gamma 90.00
_space_group_name_H-M_alt 'P n m a'
_space_group_IT_number 62
loop_
_space_group_symop_operation_xyz
'x,y,z'
'-x,-y,-z'
'-x+1/2,-y,z+1/2'
'x+1/2,y,-z+1/2'
'x+1/2,-y+1/2,-z+1/2'
'-x+1/2,y+1/2,z+1/2'
'-x,y+1/2,-z'
'x,-y+1/2,z'
loop_
_atom_site_label
_atom_site_type_symbol
_atom_site_fract_x
_atom_site_fract_y
_atom_site_fract_z
Na1 Na 0.229 0.250 0.072
Ni1 Ni 0.026 0.250 0.425
I1 I 0.006 0.750 0.241
```

three wins, 0.052 eV/atom ahead of the next structure.

one.
The following is a PBE-GGA calculation of a relaxed structure of NaNiI, from the Alexandria database.

Geometry as CIF:
```
data_NaNiI
_chemical_formula_sum 'Na2 Ni2 I2'
_cell_length_a 4.333
_cell_length_b 5.710
_cell_length_c 7.242
_cell_angle_alpha 96.18
_cell_angle_beta 106.80
_cell_angle_gamma 90.42
_space_group_name_H-M_alt 'P 1'
_space_group_IT_number 1
loop_
_space_group_symop_operation_xyz
'x,y,z'
loop_
_atom_site_label
_atom_site_type_symbol
_atom_site_fract_x
_atom_site_fract_y
_atom_site_fract_z
Na1 Na 0.000 0.000 0.000
Na2 Na 0.174 0.529 0.372
Ni1 Ni 0.201 0.032 0.421
Ni2 Ni 0.631 0.870 0.279
I1 I 0.495 0.563 0.003
I2 I 0.773 0.158 0.567
```

two.
The following is a PBE-GGA calculation of a relaxed structure of NaNiI, from the Alexandria database.

Geometry as CIF:
```
data_NaNiI
_chemical_formula_sum 'Na2 Ni2 I2'
_cell_length_a 4.131
_cell_length_b 4.852
_cell_length_c 8.909
_cell_angle_alpha 84.05
_cell_angle_beta 76.72
_cell_angle_gamma 89.98
_space_group_name_H-M_alt 'P 1'
_space_group_IT_number 1
loop_
_space_group_symop_operation_xyz
'x,y,z'
loop_
_atom_site_label
_atom_site_type_symbol
_atom_site_fract_x
_atom_site_fract_y
_atom_site_fract_z
Na1 Na 0.000 0.000 0.000
Na2 Na 0.208 0.623 0.576
Ni1 Ni 0.323 0.133 0.344
Ni2 Ni 0.821 0.886 0.349
I1 I 0.569 0.540 0.856
I2 I 0.848 0.412 0.293
```

three.
The following is a PBE-GGA calculation of a relaxed structure of NaNiI, from the Alexandria database.

Geometry as CIF:
```
data_NaNiI
_chemical_formula_sum 'Na4 Ni4 I4'
_cell_length_a 8.757
_cell_length_b 7.073
_cell_length_c 5.154
_cell_angle_alpha 90.00
_cell_angle_beta 90.00
_cell_angle_gamma 90.00
_space_group_name_H-M_alt 'I m a 2'
_space_group_IT_number 46
loop_
_space_group_symop_operation_xyz
'x,y,z'
'-x,-y,z'
'-x+1/2,y,z'
'x+1/2,-y,z'
'x+1/2,y+1/2,z+1/2'
'-x+1/2,-y+1/2,z+1/2'
'-x,y+1/2,z+1/2'
'x,-y+1/2,z+1/2'
loop_
_atom_site_label
_atom_site_type_symbol
_atom_site_fract_x
_atom_site_fract_y
_atom_site_fract_z
Na1 Na 0.000 0.000 0.000
Ni1 Ni 0.250 0.250 0.249
I1 I 0.250 0.539 0.000
```

four.
The following is a PBE-GGA calculation of a relaxed structure of NaNiI, from the Alexandria database.

Geometry as CIF:
```
data_NaNiI
_chemical_formula_sum 'Na4 Ni4 I4'
_cell_length_a 3.762
_cell_length_b 10.322
_cell_length_c 7.591
_cell_angle_alpha 90.00
_cell_angle_beta 90.00
_cell_angle_gamma 90.00
_space_group_name_H-M_alt 'C m c m'
_space_group_IT_number 63
_space_group_name_Hall '-C 2c 2'
loop_
_atom_site_label
_atom_site_type_symbol
_atom_site_fract_x
_atom_site_fract_y
_atom_site_fract_z
Na1 Na 0.000 0.241 0.250
Ni1 Ni 0.000 0.031 0.750
I1 I 0.000 0.500 0.000
```

three wins, 0.025 eV/atom ahead of the next structure.

one.
The following is a PBE-GGA calculation of a relaxed structure of NaNiI, from the Alexandria database.

Geometry as CIF:
```
data_NaNiI
_chemical_formula_sum 'Na4 Ni4 I4'
_cell_length_a 6.342
_cell_length_b 6.342
_cell_length_c 6.342
_cell_angle_alpha 90.00
_cell_angle_beta 90.00
_cell_angle_gamma 90.00
_space_group_name_H-M_alt 'F -4 3 m'
_space_group_IT_number 216
_space_group_name_Hall 'F -4 2 3'
loop_
_atom_site_label
_atom_site_type_symbol
_atom_site_fract_x
_atom_site_fract_y
_atom_site_fract_z
Na1 Na 0.000 0.000 0.000
Ni1 Ni 0.250 0.250 0.750
I1 I 0.000 0.000 0.500
```

two.
The following is a PBE-GGA calculation of a relaxed structure of NaNiI, from the Alexandria database.

Geometry as CIF:
```
data_NaNiI
_chemical_formula_sum 'Na4 Ni4 I4'
_cell_length_a 7.753
_cell_length_b 4.149
_cell_length_c 9.404
_cell_angle_alpha 90.00
_cell_angle_beta 91.08
_cell_angle_gamma 90.00
_space_group_name_H-M_alt 'C 1 m 1'
_space_group_IT_number 8
loop_
_space_group_symop_operation_xyz
'x,y,z'
'x,-y,z'
'x+1/2,y+1/2,z'
'x+1/2,-y+1/2,z'
loop_
_atom_site_label
_atom_site_type_symbol
_atom_site_fract_x
_atom_site_fract_y
_atom_site_fract_z
Na1 Na 0.000 0.000 0.000
Na2 Na 0.157 0.500 0.423
Ni1 Ni 0.013 0.000 0.667
Ni2 Ni 0.338 0.000 0.665
I1 I 0.179 0.500 0.760
I2 I 0.327 0.000 0.197
```

two wins, 0.245 eV/atom ahead of the next structure.

one.
The following is a PBE-GGA calculation of a relaxed structure of NaNiI, from the Alexandria database.

Geometry as CIF:
```
data_NaNiI
_chemical_formula_sum 'Na2 Ni2 I2'
_cell_length_a 4.337
_cell_length_b 4.574
_cell_length_c 8.599
_cell_angle_alpha 74.63
_cell_angle_beta 89.84
_cell_angle_gamma 89.99
_space_group_name_H-M_alt 'P 1'
_space_group_IT_number 1
loop_
_space_group_symop_operation_xyz
'x,y,z'
loop_
_atom_site_label
_atom_site_type_symbol
_atom_site_fract_x
_atom_site_fract_y
_atom_site_fract_z
Na1 Na 0.000 0.000 0.000
Na2 Na 0.003 0.241 0.517
Ni1 Ni 0.002 0.616 0.768
Ni2 Ni 0.501 0.540 0.920
I1 I 0.502 0.393 0.212
I2 I 0.503 0.686 0.628
```

two.
The following is a PBE-GGA calculation of a relaxed structure of NaNiI, from the Alexandria database.

Geometry as CIF:
```
data_NaNiI
_chemical_formula_sum 'Na1 Ni1 I1'
_cell_length_a 4.2964
_cell_length_b 4.2964
_cell_length_c 4.4526
_cell_angle_alpha 90.00
_cell_angle_beta 90.00
_cell_angle_gamma 120.00
_space_group_name_H-M_alt 'P -6 m 2'
_space_group_IT_number 187
_space_group_name_Hall 'P -6 2'
loop_
_atom_site_label
_atom_site_type_symbol
_atom_site_fract_x
_atom_site_fract_y
_atom_site_fract_z
Na1 Na 0.0000 0.0000 0.0000
Ni1 Ni 0.3333 0.6667 0.5000
I1 I 0.6667 0.3333 0.5000
```

one wins, 0.039 eV/atom ahead of the next structure.

one.
The following is a PBE-GGA calculation of a relaxed structure of NaNiI, from the Alexandria database.

Geometry as CIF:
```
data_NaNiI
_chemical_formula_sum 'Na2 Ni2 I2'
_cell_length_a 4.2902
_cell_length_b 4.2902
_cell_length_c 8.9777
_cell_angle_alpha 90.00
_cell_angle_beta 90.00
_cell_angle_gamma 120.00
_space_group_name_H-M_alt 'P 63/m m c'
_space_group_IT_number 194
_space_group_name_Hall '-P 6c 2c'
loop_
_atom_site_label
_atom_site_type_symbol
_atom_site_fract_x
_atom_site_fract_y
_atom_site_fract_z
Na1 Na 0.0000 0.0000 0.0000
Ni1 Ni 0.3333 0.6667 0.2500
I1 I 0.3333 0.6667 0.7500
```

two.
The following is a PBE-GGA calculation of a relaxed structure of NaNiI, from the Alexandria database.

Geometry as CIF:
```
data_NaNiI
_chemical_formula_sum 'Na2 Ni2 I2'
_cell_length_a 3.844
_cell_length_b 5.898
_cell_length_c 8.078
_cell_angle_alpha 69.12
_cell_angle_beta 76.56
_cell_angle_gamma 71.03
_space_group_name_H-M_alt 'P 1'
_space_group_IT_number 1
loop_
_space_group_symop_operation_xyz
'x,y,z'
loop_
_atom_site_label
_atom_site_type_symbol
_atom_site_fract_x
_atom_site_fract_y
_atom_site_fract_z
Na1 Na 0.000 0.000 0.000
Na2 Na 0.453 0.722 0.381
Ni1 Ni 0.182 0.413 0.228
Ni2 Ni 0.709 0.550 0.034
I1 I 0.320 0.523 0.834
I2 I 0.721 0.163 0.405
```

three.
The following is a PBE-GGA calculation of a relaxed structure of NaNiI, from the Alexandria database.

Geometry as CIF:
```
data_NaNiI
_chemical_formula_sum 'Na2 Ni2 I2'
_cell_length_a 3.853
_cell_length_b 6.150
_cell_length_c 7.333
_cell_angle_alpha 79.42
_cell_angle_beta 74.81
_cell_angle_gamma 71.76
_space_group_name_H-M_alt 'P -1'
_space_group_IT_number 2
loop_
_space_group_symop_operation_xyz
'x,y,z'
'-x,-y,-z'
loop_
_atom_site_label
_atom_site_type_symbol
_atom_site_fract_x
_atom_site_fract_y
_atom_site_fract_z
Na1 Na 0.019 0.204 0.257
Ni1 Ni 0.257 0.581 0.404
I1 I 0.240 0.235 0.785
```

four.
The following is a PBE-GGA calculation of a relaxed structure of NaNiI, from the Alexandria database.

Geometry as CIF:
```
data_NaNiI
_chemical_formula_sum 'Na2 Ni2 I2'
_cell_length_a 4.583
_cell_length_b 5.070
_cell_length_c 7.422
_cell_angle_alpha 90.00
_cell_angle_beta 107.87
_cell_angle_gamma 90.00
_space_group_name_H-M_alt 'P 1 m 1'
_space_group_IT_number 6
loop_
_space_group_symop_operation_xyz
'x,y,z'
'x,-y,z'
loop_
_atom_site_label
_atom_site_type_symbol
_atom_site_fract_x
_atom_site_fract_y
_atom_site_fract_z
Na1 Na 0.000 0.000 0.000
Na2 Na 0.205 0.500 0.414
Ni1 Ni 0.602 0.250 0.207
I1 I 0.458 0.500 0.914
I2 I 0.749 0.000 0.500
```

four wins, 0.041 eV/atom ahead of the next structure.

one.
The following is a PBE-GGA calculation of a relaxed structure of NaNiI, from the Alexandria database.

Geometry as CIF:
```
data_NaNiI
_chemical_formula_sum 'Na2 Ni2 I2'
_cell_length_a 4.383
_cell_length_b 4.445
_cell_length_c 9.427
_cell_angle_alpha 78.03
_cell_angle_beta 76.86
_cell_angle_gamma 60.57
_space_group_name_H-M_alt 'P 1'
_space_group_IT_number 1
loop_
_space_group_symop_operation_xyz
'x,y,z'
loop_
_atom_site_label
_atom_site_type_symbol
_atom_site_fract_x
_atom_site_fract_y
_atom_site_fract_z
Na1 Na 0.000 0.000 0.000
Na2 Na 0.152 0.115 0.572
Ni1 Ni 0.251 0.240 0.260
Ni2 Ni 0.905 0.889 0.303
I1 I 0.574 0.544 0.309
I2 I 0.745 0.718 0.785
```

two.
The following is a PBE-GGA calculation of a relaxed structure of NaNiI, from the Alexandria database.

Geometry as CIF:
```
data_NaNiI
_chemical_formula_sum 'Na2 Ni2 I2'
_cell_length_a 4.127
_cell_length_b 4.834
_cell_length_c 8.570
_cell_angle_alpha 77.54
_cell_angle_beta 89.85
_cell_angle_gamma 89.94
_space_group_name_H-M_alt 'P 1'
_space_group_IT_number 1
loop_
_space_group_symop_operation_xyz
'x,y,z'
loop_
_atom_site_label
_atom_site_type_symbol
_atom_site_fract_x
_atom_site_fract_y
_atom_site_fract_z
Na1 Na 0.000 0.000 0.000
Na2 Na 0.002 0.354 0.449
Ni1 Ni 0.002 0.543 0.741
Ni2 Ni 0.502 0.291 0.736
I1 I 0.502 0.830 0.670
I2 I 0.503 0.447 0.168
```

one wins, 0.041 eV/atom ahead of the next structure.

one.
The following is a PBE-GGA calculation of a relaxed structure of Na3NiI, from the Alexandria database.

Geometry as CIF:
```
data_Na3NiI
_chemical_formula_sum 'Na3 Ni1 I1'
_cell_length_a 5.845
_cell_length_b 5.845
_cell_length_c 5.845
_cell_angle_alpha 90.00
_cell_angle_beta 90.00
_cell_angle_gamma 90.00
_space_group_name_H-M_alt 'P m -3 m'
_space_group_IT_number 221
_space_group_name_Hall '-P 4 2 3'
loop_
_atom_site_label
_atom_site_type_symbol
_atom_site_fract_x
_atom_site_fract_y
_atom_site_fract_z
Na1 Na 0.000 0.000 0.500
Ni1 Ni 0.500 0.500 0.500
I1 I 0.000 0.000 0.000
```

two.
The following is a PBE-GGA calculation of a relaxed structure of Na3NiI, from the Alexandria database.

Geometry as CIF:
```
data_Na3NiI
_chemical_formula_sum 'Na3 Ni1 I1'
_cell_length_a 5.407
_cell_length_b 5.407
_cell_length_c 5.407
_cell_angle_alpha 90.00
_cell_angle_beta 90.00
_cell_angle_gamma 90.00
_space_group_name_H-M_alt 'P m -3 m'
_space_group_IT_number 221
_space_group_name_Hall '-P 4 2 3'
loop_
_atom_site_label
_atom_site_type_symbol
_atom_site_fract_x
_atom_site_fract_y
_atom_site_fract_z
Na1 Na 0.000 0.000 0.500
Ni1 Ni 0.000 0.000 0.000
I1 I 0.500 0.500 0.500
```

two wins, 0.252 eV/atom ahead of the next structure.

one.
The following is a PBE-GGA calculation of a relaxed structure of NaNi2I, from the Alexandria database.

Geometry as CIF:
```
data_NaNi2I
_chemical_formula_sum 'Na4 Ni8 I4'
_cell_length_a 6.404
_cell_length_b 6.404
_cell_length_c 6.404
_cell_angle_alpha 90.00
_cell_angle_beta 90.00
_cell_angle_gamma 90.00
_space_group_name_H-M_alt 'F m -3 m'
_space_group_IT_number 225
_space_group_name_Hall '-F 4 2 3'
loop_
_atom_site_label
_atom_site_type_symbol
_atom_site_fract_x
_atom_site_fract_y
_atom_site_fract_z
Na1 Na 0.000 0.000 0.000
Ni1 Ni 0.250 0.250 0.250
I1 I 0.000 0.000 0.500
```

two.
The following is a PBE-GGA calculation of a relaxed structure of NaNi2I, from the Alexandria database.

Geometry as CIF:
```
data_NaNi2I
_chemical_formula_sum 'Na4 Ni8 I4'
_cell_length_a 4.893
_cell_length_b 4.893
_cell_length_c 16.501
_cell_angle_alpha 90.00
_cell_angle_beta 90.00
_cell_angle_gamma 90.00
_space_group_name_H-M_alt 'I 41/a m d'
_space_group_IT_number 141
loop_
_space_group_symop_operation_xyz
'x,y,z'
'-x,-y,-z'
'-y+1/4,x+3/4,z+1/4'
'y+1/4,-x+3/4,-z+1/4'
'-x+1/2,-y,z+1/2'
'x+1/2,y,-z+1/2'
'y+1/4,-x+1/4,z+3/4'
'-y+1/4,x+1/4,-z+3/4'
'x,-y,-z'
'-x,y,z'
'-y+1/4,-x+1/4,-z+3/4'
'y+1/4,x+1/4,z+3/4'
'-x+1/2,y,-z+1/2'
'x+1/2,-y,z+1/2'
'y+1/4,x+3/4,-z+1/4'
'-y+1/4,-x+3/4,z+1/4'
'x+1/2,y+1/2,z+1/2'
'-x+1/2,-y+1/2,-z+1/2'
'-y+3/4,x+1/4,z+3/4'
'y+3/4,-x+1/4,-z+3/4'
'-x,-y+1/2,z'
'x,y+1/2,-z'
'y+3/4,-x+3/4,z+1/4'
'-y+3/4,x+3/4,-z+1/4'
'x+1/2,-y+1/2,-z+1/2'
'-x+1/2,y+1/2,z+1/2'
'-y+3/4,-x+3/4,-z+1/4'
'y+3/4,x+3/4,z+1/4'
'-x,y+1/2,-z'
'x,-y+1/2,z'
'y+3/4,x+1/4,-z+3/4'
'-y+3/4,-x+1/4,z+3/4'
loop_
_atom_site_label
_atom_site_type_symbol
_atom_site_fract_x
_atom_site_fract_y
_atom_site_fract_z
Na1 Na 0.000 0.250 0.375
Ni1 Ni 0.000 0.000 0.000
I1 I 0.000 0.250 0.875
```

two wins, 0.183 eV/atom ahead of the next structure.